# 1
AlH3 | the Alexandria database | GGA-PBEsol | relaxed; E = -0.2565 Ry/atom
1.0
6.2306 0.0324 0.0000
-2.9858 5.4687 0.0000
0.0000 0.0000 6.3740
H Al
18 6
Direct
0.7839 0.2161 0.5755 H
0.2161 0.7839 0.0755 H
0.7839 0.2161 0.9245 H
0.2161 0.7839 0.4245 H
0.5973 0.7959 0.9281 H
0.4027 0.2041 0.4281 H
0.2041 0.4027 0.5719 H
0.7959 0.5973 0.0719 H
0.4027 0.2041 0.0719 H
0.5973 0.7959 0.5719 H
0.7959 0.5973 0.4281 H
0.2041 0.4027 0.9281 H
0.5619 0.4381 0.7500 H
0.4381 0.5619 0.2500 H
0.3922 0.9921 0.7500 H
0.6078 0.0079 0.2500 H
0.0079 0.6078 0.7500 H
0.9921 0.3922 0.2500 H
0.5000 0.5000 0.0000 Al
0.5000 0.5000 0.5000 Al
0.5000 0.0000 0.0000 Al
0.5000 0.0000 0.5000 Al
0.0000 0.5000 0.5000 Al
0.0000 0.5000 0.0000 Al

---

# 2
AlH3 | the Alexandria database | GGA-PBEsol | relaxed; E = -0.2569 Ry/atom
1.0
-0.7640 3.5204 -2.2370
-3.8113 1.8488 0.1921
-0.3233 3.9559 2.3167
H Al
6 2
Direct
0.2500 0.5821 0.2500 H
0.9179 0.2500 0.2500 H
0.5821 0.9179 0.2500 H
0.7500 0.4179 0.7500 H
0.0821 0.7500 0.7500 H
0.4179 0.0821 0.7500 H
0.5000 0.5000 0.5000 Al
0.0000 0.0000 0.0000 Al

---

Please write out number 1 again, unchanged.
AlH3 | the Alexandria database | GGA-PBEsol | relaxed; E = -0.2565 Ry/atom
1.0
6.2306 0.0324 0.0000
-2.9858 5.4687 0.0000
0.0000 0.0000 6.3740
H Al
18 6
Direct
0.7839 0.2161 0.5755 H
0.2161 0.7839 0.0755 H
0.7839 0.2161 0.9245 H
0.2161 0.7839 0.4245 H
0.5973 0.7959 0.9281 H
0.4027 0.2041 0.4281 H
0.2041 0.4027 0.5719 H
0.7959 0.5973 0.0719 H
0.4027 0.2041 0.0719 H
0.5973 0.7959 0.5719 H
0.7959 0.5973 0.4281 H
0.2041 0.4027 0.9281 H
0.5619 0.4381 0.7500 H
0.4381 0.5619 0.2500 H
0.3922 0.9921 0.7500 H
0.6078 0.0079 0.2500 H
0.0079 0.6078 0.7500 H
0.9921 0.3922 0.2500 H
0.5000 0.5000 0.0000 Al
0.5000 0.5000 0.5000 Al
0.5000 0.0000 0.0000 Al
0.5000 0.0000 0.5000 Al
0.0000 0.5000 0.5000 Al
0.0000 0.5000 0.0000 Al